{"formula": "OsRu2Rh", "functional": "meta-GGA SCAN", "state": "PBEsol geometry", "lattice_angstrom": [[-2.213, -1.238, 0.855], [-0.562, -2.475, -0.850], [3.533, -4.562, 6.732]], "species": ["Rh", "Os", "Ru", "Ru"], "fractional_positions": [[0.000, 0.000, 0.000], [0.500, 0.500, 0.500], [0.249, 0.249, 0.252], [0.751, 0.751, 0.748]], "formation_energy_mev_per_atom": 85, "sg": "No. 166", "de_polymorph_mev_per_atom": 8, "total_energy_ev_per_atom": -43.741, "total_magnetization_mub_per_atom": 0.00}